Record 1
Computed, not measured: crystalline La2B10Ir at its relaxed geometry at the PBE level of DFT.

Cell and atoms, written as POSCAR:
```
La2B10Ir
1.0
4.252 0.000 0.000
0.000 5.789 0.000
0.000 0.000 11.542
La B Ir
4 20 2
Cartesian
2.126 1.688 9.997
2.126 4.101 1.545
2.126 4.583 7.316
2.126 1.206 4.226
0.000 0.691 6.273
0.000 5.098 5.269
0.000 3.586 11.040
0.000 2.204 0.502
0.000 0.803 8.042
0.000 4.986 3.499
1.274 1.260 1.363
1.274 4.530 10.179
2.978 4.155 4.408
2.978 1.635 7.133
2.978 4.530 10.179
2.978 1.260 1.363
1.274 1.635 7.133
1.274 4.155 4.408
0.000 0.324 2.226
0.000 5.465 9.316
0.000 3.219 3.545
0.000 2.571 7.997
0.000 2.092 2.272
0.000 3.698 9.270
0.000 2.895 5.771
0.000 0.000 0.000
```

## Properties
- Energy of formation: -0.6098 eV/atom
- Crystal system: orthorhombic
- V: 10.9 Å³/atom

***

Record 2
Computed, not measured: crystalline LaB2Ir2 at its relaxed geometry at the PBE level of DFT.

Cell and atoms, written as POSCAR:
```
LaB2Ir2
1.0
-0.899 6.944 0.446
-3.404 -0.831 6.079
2.652 0.246 1.519
B Ir La
4 4 2
Cartesian
-3.443 2.059 5.680
-2.839 5.788 4.022
-0.859 4.054 0.844
-1.463 0.325 2.503
-0.950 0.523 4.669
-2.193 3.801 6.310
-0.701 5.836 3.374
0.543 2.558 1.733
0.000 0.000 0.000
-2.151 3.057 3.262
```

## Properties
- Energy of formation: 0.1229 eV/atom
- Crystal system: tetragonal
- V: 15.1 Å³/atom

***

no.,energy (eV per formula unit)
1,-93.4
2,-35.4